First-principles (GGA-PBE) data for ZrSc2Al after structural relaxation, as listed in Alexandria via LeMat-Bulk.

Unit cell a=5.4881 b=5.4881 c=5.4881 alpha=133.76 beta=133.76 gamma=67.46
Last column: nearest neighbours and their distance in Å.
Element x y z (fractional)
Zr1 0.0000 0.0000 0.0000  4 Al 3.05, 8 Sc 3.14
Sc1 0.2500 0.7500 0.5000  4 Sc 3.05, 4 Zr 3.14, 4 Al 3.14
Sc2 0.7500 0.2500 0.5000  4 Sc 3.05, 4 Zr 3.14, 4 Al 3.14
Al1 0.5000 0.5000 0.0000  4 Zr 3.05, 8 Sc 3.14

Results
**Formation energy**: -231 meV/atom
**Density**: 4.08 Mg/m³
**Final energy**: -6.470 eV per atom